Record 1
Here is a relaxed structure of CoMoPb2 from Alexandria via LeMat-Bulk. Energies are from GGA-PBEsol.

abc: 6.267 8.681 3.056
angles: 90.00 114.05 90.00
Space group C2/m (No. 12)
Asymmetric unit:
Co (0.000, 0.000, 0.000) x2
Mo (0.000, 0.500, 0.000) x2
Pb (0.250, 0.250, 0.500) x4

Properties
* energy of formation from the pure elements: 3.5 eV/f.u.
* offset from the most stable computed form: 371 meV per atom

***

Record 2
Here is a relaxed structure of Co2MoPb from Alexandria via LeMat-Bulk. Energies are from GGA-PBEsol.

abc: 7.999 3.165 4.930
angles: 90.00 103.85 90.00
Space group C2/m (No. 12)
Asymmetric unit:
Co (0.232, 0.000, 0.180) x4
Mo (0.000, 0.500, 0.000) x2
Pb (0.000, 0.000, 0.500) x2

Properties
* energy of formation from the pure elements: 2.0 eV/f.u.

***

Record 3
Here is a relaxed structure of Co2MoPb from Alexandria via LeMat-Bulk. Energies are from GGA-PBEsol.

abc: 6.123 6.123 6.123
angles: 90.00 90.00 90.00
Space group F-43m (No. 216)
Asymmetric unit:
Co (0.000, 0.000, 0.000) x4
Co (0.250, 0.250, 0.250) x4
Mo (0.000, 0.000, 0.500) x4
Pb (0.250, 0.250, 0.750) x4

Properties
* energy of formation from the pure elements: 2.6 eV/f.u.

***

Record 4
Here is a relaxed structure of CoMoPb2 from Alexandria via LeMat-Bulk. Energies are from GGA-PBEsol.

abc: 4.618 4.618 3.346
angles: 90.00 90.00 90.00
Space group P4/mmm (No. 123)
Asymmetric unit:
Co (0.000, 0.000, 0.000) x1
Mo (0.500, 0.500, 0.000) x1
Pb (0.000, 0.500, 0.500) x2

Properties
* energy of formation from the pure elements: 2.8 eV/f.u.
* offset from the most stable computed form: 211 meV per atom